1.
Entry from Alexandria: crystalline Rb2BaF at its relaxed geometry (GGA-PBE).

```
4
Lattice="0.000 4.938 4.938 4.938 0.000 4.938 4.938 4.938 0.000" Properties=species:S:1:pos:R:3 pbc="T T T"
Ba 4.938 4.938 4.938
Rb 2.469 2.469 2.469
F 0.000 0.000 0.000
Rb 7.406 7.406 7.406
```

As for the energy relative to the lowest polymorph listed for this composition: 724 meV/atom. The uncorrected formation energy is -399 meV per atom. Its spin magnetization is 0.0 Bohr magnetons per cell. Its electronic total energy is -1.8317 eV/atom. The value obtained for the volume is 60.2 Å³ per atom.

=====

2.
Entry from Alexandria: crystalline Rb3Ba5F12 at its relaxed geometry (GGA-PBE).

```
80
Lattice="14.353 0.000 0.000 -4.784 13.532 0.000 -4.784 -6.766 11.719" Properties=species:S:1:pos:R:3 pbc="T T T"
Ba -1.196 10.995 1.465
Ba 5.980 -4.229 10.254
Ba -2.392 6.766 0.000
Ba -4.784 3.383 5.859
Ba 1.196 -3.383 8.789
F 4.425 2.339 7.149
F -1.662 0.333 9.716
F 8.044 -1.007 2.263
F 5.652 5.759 9.456
Ba 4.784 6.766 0.000
F -2.751 2.788 7.409
F 5.514 -1.901 11.006
F 2.751 -2.339 7.149
F -0.868 1.007 2.263
Rb 5.980 0.846 4.395
F -4.425 5.126 11.459
F 7.536 11.892 0.259
F -3.916 5.846 6.119
F 3.631 5.584 5.146
F 10.298 7.099 2.003
Ba 5.980 5.920 4.395
Ba 8.372 -0.846 7.324
F -2.751 -5.126 11.459
F -5.514 -0.333 9.716
Ba 0.000 0.000 0.000
F 3.260 1.927 3.856
F 5.938 1.718 1.549
F 9.209 1.639 0.259
F 6.446 6.433 2.003
Rb 1.196 6.766 2.930
F 1.154 1.182 6.573
F 9.928 -2.788 7.409
Ba -1.196 0.846 7.324
F -1.154 -3.866 8.122
Rb -1.196 5.920 7.324
Rb -3.588 -2.537 10.254
Rb 3.588 7.612 7.324
F 7.536 3.978 4.310
Rb -3.588 2.537 10.254
F 5.514 1.568 10.429
F -1.154 5.048 10.169
Ba -3.588 7.612 4.395
Rb 1.196 -0.846 4.395
F 1.662 1.901 11.006
F -3.546 11.814 1.549
F -5.144 9.554 4.310
Ba 3.588 2.537 1.465
F 5.938 10.632 3.597
F -0.730 5.197 1.290
Rb -5.980 6.766 8.789
Ba 2.392 3.383 5.859
Ba 7.176 0.000 0.000
F 2.033 9.104 4.569
F 1.662 -1.568 10.429
Rb 8.372 4.229 1.465
F 3.122 8.334 1.290
F 6.023 -1.182 6.573
Ba 3.588 10.149 2.930
F 1.524 4.839 7.863
Ba 4.784 -3.383 5.859
F 8.700 0.920 5.600
F -6.023 3.866 8.122
F 8.330 -5.048 10.169
F 6.308 7.686 6.119
Ba -1.196 3.383 2.930
F -1.524 -0.920 5.600
F 0.359 4.427 4.569
F 3.122 4.864 0.713
Rb 10.764 0.000 2.930
F -0.730 8.667 0.713
Ba 1.196 4.229 10.254
F 3.916 -1.927 3.856
Rb 8.372 9.303 1.465
F 10.807 2.900 3.597
Ba -2.392 -3.383 5.859
Rb 3.588 0.000 8.789
F -3.260 7.773 9.456
F 0.868 8.693 7.863
Ba 5.980 3.383 8.789
F -1.239 7.948 5.146
```

The uncorrected formation energy is -3272 meV per atom. Its spin magnetization is 0.0 Bohr magnetons per cell. Its electronic total energy is -5.0202 eV/atom. The value obtained for the volume is 28.4 Å³ per atom.

=====

3.
Entry from Alexandria: crystalline RbBaF14 at its relaxed geometry (GGA-PBE).

```
32
Lattice="-9.495 1.749 -3.226 -5.679 -6.640 -3.289 -7.689 -2.566 4.607" Properties=species:S:1:pos:R:3 pbc="T T T"
Ba -8.592 -0.409 0.690
F -13.070 -2.681 -3.709
F -14.667 -4.794 -1.072
Rb -5.387 -2.517 -1.658
F -8.196 -2.664 -0.836
F -13.262 -5.785 -0.042
F -8.041 -4.576 -3.496
F -19.022 -6.794 -1.617
F -10.675 -0.861 -2.618
F -15.411 -4.867 -5.840
F -7.452 -2.590 3.931
F -10.008 -3.974 3.392
F -11.239 -0.777 0.370
F -11.625 -6.681 -2.279
F -6.437 -1.899 1.494
F -14.823 -2.882 1.588
Rb -17.476 -4.940 -0.251
F -16.017 -7.475 -0.414
F -3.841 -0.663 -0.292
F -9.602 -1.673 -1.866
F -9.327 -5.530 0.411
F -9.793 -4.776 1.800
F -16.427 -5.559 -3.403
F -13.536 -1.927 -2.320
F -7.687 -4.359 -1.675
Ba -3.844 -1.283 2.303
F -15.177 -3.098 -0.234
F -11.540 -3.321 -0.380
F -6.847 0.018 -1.495
F -12.188 -6.597 0.709
F -12.856 -3.484 -5.300
F -11.324 -4.136 -1.529
```

The uncorrected formation energy is -1007 meV per atom. Its spin magnetization is 6.2 Bohr magnetons per cell. Its electronic total energy is -2.8247 eV/atom. The value obtained for the volume is 18.1 Å³ per atom.

=====

4.
Entry from Alexandria: crystalline RbBaF2 at its relaxed geometry (GGA-PBE).

```
8
Lattice="-0.897 -2.512 6.043 -2.498 -5.507 -2.660 4.310 -6.637 1.492" Properties=species:S:1:pos:R:3 pbc="T T T"
Rb -1.697 -4.009 1.692
F -0.518 -5.196 -1.059
F 0.045 -12.473 3.848
Rb 0.058 -8.076 0.262
Ba 0.858 -6.579 4.613
F 0.126 -4.136 4.343
F 2.177 -7.506 2.619
Ba 0.000 0.000 0.000
```

As for the energy relative to the lowest polymorph listed for this composition: 119 meV/atom. The uncorrected formation energy is -2644 meV per atom. Its spin magnetization is 0.0 Bohr magnetons per cell. Its electronic total energy is -4.3019 eV/atom. The value obtained for the volume is 35.8 Å³ per atom.

=====

5.
Entry from Alexandria: crystalline RbBaF2 at its relaxed geometry (GGA-PBE).

```
4
Lattice="2.545 0.000 7.695 -1.273 2.204 7.695 -1.273 -2.204 7.695" Properties=species:S:1:pos:R:3 pbc="T T T"
Rb 0.000 0.000 0.000
F 0.000 0.000 2.914
Ba 0.000 0.000 11.542
F 0.000 0.000 20.171
```

As for the energy relative to the lowest polymorph listed for this composition: 0 meV/atom. The uncorrected formation energy is -2762 meV per atom. Its spin magnetization is 0.0 Bohr magnetons per cell. Its electronic total energy is -4.4207 eV/atom. The value obtained for the volume is 32.4 Å³ per atom.

=====

6.
Entry from Alexandria: crystalline Rb2BaF7 at its relaxed geometry (GGA-PBE).

```
10
Lattice="6.614 0.000 0.000 0.000 6.614 0.000 3.307 3.307 4.702" Properties=species:S:1:pos:R:3 pbc="T T T"
F 1.749 1.749 0.000
F 4.865 4.865 0.000
F 1.749 4.865 0.000
F 3.307 3.307 2.241
Rb 3.307 6.614 2.351
F 6.614 6.614 2.462
Rb 6.614 3.307 2.351
Ba 0.000 0.000 0.000
F 3.307 3.307 0.000
F 4.865 1.749 0.000
```

The uncorrected formation energy is -2028 meV per atom. Its spin magnetization is 3.0 Bohr magnetons per cell. Its electronic total energy is -3.7241 eV/atom. The value obtained for the volume is 20.6 Å³ per atom.

=====

7.
Entry from Alexandria: crystalline Rb2BaReF6 at its relaxed geometry (GGA-PBE).

```
10
Lattice="6.637 0.000 0.000 0.000 6.637 0.000 3.319 3.319 4.693" Properties=species:S:1:pos:R:3 pbc="T T T"
Rb 6.637 3.319 2.346
F 1.517 5.120 0.000
F 5.120 1.517 0.000
F 6.637 6.637 2.145
Ba 3.319 3.319 0.000
Rb 3.319 6.637 2.346
Re 0.000 0.000 0.000
F 1.517 1.517 0.000
F 3.319 3.319 2.547
F 5.120 5.120 0.000
```

The uncorrected formation energy is -2285 meV per atom. Its spin magnetization is 1.1 Bohr magnetons per cell. Its electronic total energy is -5.0385 eV/atom. The value obtained for the volume is 20.7 Å³ per atom.

=====

8.
Entry from Alexandria: crystalline RbBaRu2F at its relaxed geometry (GGA-PBE).

```
5
Lattice="4.752 0.000 0.000 0.000 5.169 0.000 0.000 0.000 4.752" Properties=species:S:1:pos:R:3 pbc="T T T"
Ba 2.376 2.584 2.376
Ru 2.376 0.000 0.000
Ru 0.000 0.000 2.376
Rb 0.000 2.584 0.000
F 0.000 0.000 0.000
```

The uncorrected formation energy is 579 meV per atom. Its spin magnetization is 3.1 Bohr magnetons per cell. Its electronic total energy is -4.0834 eV/atom. The value obtained for the volume is 23.3 Å³ per atom.

=====

9.
Entry from Alexandria: crystalline Rb2BaRuF6 at its relaxed geometry (GGA-PBE).

```
10
Lattice="6.575 0.000 0.000 0.000 6.575 0.000 3.288 3.288 4.649" Properties=species:S:1:pos:R:3 pbc="T T T"
F 4.788 1.787 0.000
F 3.288 3.288 2.122
F 1.787 1.787 0.000
Rb 3.288 6.575 2.325
Ba 0.000 0.000 0.000
F 6.575 6.575 2.527
Rb 6.575 3.288 2.325
Ru 3.288 3.288 0.000
F 4.788 4.788 0.000
F 1.787 4.788 0.000
```

The uncorrected formation energy is -2500 meV per atom. Its spin magnetization is 0.0 Bohr magnetons per cell. Its electronic total energy is -4.9359 eV/atom. The value obtained for the volume is 20.1 Å³ per atom.

=====

spin magnetization of number 1 (Rb2BaF)?
0.0 Bohr magnetons per cell

=====

Which formula does entry 5 have?
RbBaF2

=====

Number 4 is which compound?
RbBaF2

=====

Please write out number 9 again, unchanged.
Entry from Alexandria: crystalline Rb2BaRuF6 at its relaxed geometry (GGA-PBE).

```
10
Lattice="6.575 0.000 0.000 0.000 6.575 0.000 3.288 3.288 4.649" Properties=species:S:1:pos:R:3 pbc="T T T"
F 4.788 1.787 0.000
F 3.288 3.288 2.122
F 1.787 1.787 0.000
Rb 3.288 6.575 2.325
Ba 0.000 0.000 0.000
F 6.575 6.575 2.527
Rb 6.575 3.288 2.325
Ru 3.288 3.288 0.000
F 4.788 4.788 0.000
F 1.787 4.788 0.000
```

The uncorrected formation energy is -2500 meV per atom. Its spin magnetization is 0.0 Bohr magnetons per cell. Its electronic total energy is -4.9359 eV/atom. The value obtained for the volume is 20.1 Å³ per atom.